[1]
{"formula": "BaLa2Sb", "functional": "PBEsol", "state": "optimized geometry", "lattice": [[-0.588, -3.074, 2.910], [-2.094, -3.124, -3.723], [5.961, -0.967, -2.540]], "species": ["La", "La", "Sb", "Ba"], "frac_coords": [[0.091, 0.000, 0.083], [0.743, 0.500, 0.239], [0.792, 0.000, 0.508], [0.374, 0.500, 0.670]], "spacegroup": "Pm, No. 6", "total_energy_ev_per_cell": -19.19, "e_form_raw_ev_per_atom": -0.449, "vol_a3_per_atom": 35.53}

---

[2]
{"formula": "CaAl8Ni2", "functional": "PBEsol", "state": "optimized geometry", "lattice": [[-2.778, -0.536, 2.731], [0.814, -12.325, -1.590], [10.150, -0.645, 10.200]], "species": ["Ni", "Ni", "Ni", "Ni", "Ni", "Ni", "Ni", "Ni", "Ca", "Ca", "Ca", "Ca", "Al", "Al", "Al", "Al", "Al", "Al", "Al", "Al", "Al", "Al", "Al", "Al", "Al", "Al", "Al", "Al", "Al", "Al", "Al", "Al", "Al", "Al", "Al", "Al", "Al", "Al", "Al", "Al", "Al", "Al", "Al", "Al"], "frac_coords": [[0.000, 0.035, 0.594], [0.000, 0.346, 0.404], [0.000, 0.846, 0.096], [0.000, 0.465, 0.094], [0.000, 0.965, 0.406], [0.000, 0.654, 0.596], [0.000, 0.154, 0.904], [0.000, 0.535, 0.906], [0.000, 0.159, 0.182], [0.000, 0.659, 0.318], [0.000, 0.341, 0.682], [0.000, 0.841, 0.818], [0.500, 0.662, 0.880], [0.000, 0.160, 0.456], [0.500, 0.238, 0.827], [0.500, 0.162, 0.620], [0.500, 0.976, 0.132], [0.500, 0.476, 0.368], [0.500, 0.838, 0.380], [0.000, 0.340, 0.956], [0.500, 0.667, 0.489], [0.500, 0.762, 0.173], [0.500, 0.452, 0.820], [0.500, 0.952, 0.680], [0.000, 0.660, 0.044], [0.500, 0.524, 0.632], [0.000, 0.840, 0.544], [0.000, 0.402, 0.247], [0.500, 0.262, 0.327], [0.500, 0.024, 0.868], [0.000, 0.098, 0.747], [0.500, 0.833, 0.989], [0.500, 0.000, 0.500], [0.000, 0.902, 0.253], [0.500, 0.548, 0.180], [0.500, 0.338, 0.120], [0.000, 0.500, 0.500], [0.000, 0.000, 0.000], [0.500, 0.738, 0.673], [0.500, 0.500, 0.000], [0.500, 0.333, 0.511], [0.500, 0.167, 0.011], [0.500, 0.048, 0.320], [0.000, 0.598, 0.753]], "spacegroup": "Pbam, No. 55", "total_energy_ev_per_cell": -206.01, "e_form_ev_per_atom": -0.393, "vol_a3_per_atom": 16.03}

---

[3]
{"formula": "Na2As2Ru", "functional": "PBEsol", "state": "optimized geometry", "lattice": [[-3.392, 3.280, -1.204], [-1.953, 0.170, 5.963], [4.058, 4.637, 1.196]], "species": ["As", "As", "As", "As", "Na", "Na", "Na", "Na", "Ru", "Ru"], "frac_coords": [[0.000, 0.642, 0.142], [0.000, 0.142, 0.358], [0.000, 0.358, 0.858], [0.000, 0.858, 0.642], [0.500, 0.320, 0.180], [0.500, 0.820, 0.320], [0.500, 0.180, 0.680], [0.500, 0.680, 0.820], [0.000, 0.500, 0.500], [0.000, 0.000, 0.000]], "spacegroup": "P4/mbm, No. 127", "total_energy_ev_per_cell": -49.27, "e_form_ev_per_atom": -0.290, "vol_a3_per_atom": 19.19}

---

[4]
{"formula": "YMoCl2", "functional": "PBEsol", "state": "optimized geometry", "lattice": [[-3.025, -0.446, -1.105], [1.472, -1.752, -3.325], [-0.958, -4.842, 4.578]], "species": ["Cl", "Cl", "Mo", "Y"], "frac_coords": [[0.000, 0.977, 0.953], [0.500, 0.309, 0.618], [0.000, 0.171, 0.341], [0.500, 0.546, 0.093]], "spacegroup": "Amm2, No. 38", "total_energy_ev_per_cell": -24.98, "e_form_raw_ev_per_atom": -0.592, "de_polymorph_ev_per_atom": 0.036, "vol_a3_per_atom": 21.07}